Entry 1:
Compound: Ho3Th5
Source: Alexandria via LeMat-Bulk
Functional: PBE
Structure: optimized geometry

As for the space group: Pmm2. The value obtained for the magnetic moment is 0.000 μB per cell. As for the formation energy: 0.042 eV/atom.

a b c (Å): 3.5548 5.8619 12.3695
angles (deg): 90.00 90.00 90.00
Last column: nearest neighbours and their distance in Å.
Element x y z (fractional)
Ho1 0.0000 0.0000 0.0000  6 Ho 3.55-3.60, 6 Th 3.57-3.59
Ho2 0.0000 0.5000 0.1652  8 Ho 3.55-3.60, 4 Th 3.57-3.62
Ho3 0.5000 0.0000 0.2534  4 Th 3.55-3.58, 8 Ho 3.55-3.60
Th1 0.0000 0.0000 0.5020  10 Th 3.54-3.58, 2 Ho 3.55
Th2 0.0000 0.5000 0.6663  12 Th 3.53-3.58
Th3 0.5000 0.0000 0.7495  10 Th 3.54-3.58, 2 Ho 3.57
Th4 0.5000 0.5000 0.4198  8 Th 3.53-3.58, 4 Ho 3.58-3.62
Th5 0.5000 0.5000 0.9145  6 Th 3.55-3.57, 6 Ho 3.57-3.59

Entry 2:
Compound: Ho5Th6
Source: Alexandria via LeMat-Bulk
Functional: PBE
Structure: optimized geometry

As for the space group: C2/m. The value obtained for the magnetic moment is 0.000 μB per cell. As for the formation energy: 0.197 eV/atom.

a b c (Å): 6.2144 6.2144 11.5715
angles (deg): 96.04 96.04 123.40
Last column: nearest neighbours and their distance in Å.
Element x y z (fractional)
Ho1 0.0000 0.0000 0.0000  6 Th 3.37-3.65, 6 Ho 3.50-3.58
Ho2 0.3270 0.6730 0.0000  6 Th 3.37-3.71, 5 Ho 3.39-3.58
Ho3 0.3519 0.6481 0.5000  1 Ho 3.24, 6 Th 3.34-3.62
Ho4 0.6481 0.3519 0.5000  1 Ho 3.24, 6 Th 3.34-3.62
Ho5 0.6730 0.3270 0.0000  6 Th 3.37-3.71, 5 Ho 3.39-3.58
Th1 0.1259 0.8087 0.2731  5 Ho 3.34-3.71, 5 Th 3.42-3.56
Th2 0.1913 0.8741 0.7269  5 Ho 3.34-3.71, 5 Th 3.42-3.56
Th3 0.4553 0.4553 0.2348  5 Ho 3.37-3.43, 6 Th 3.42-3.76
Th4 0.5447 0.5447 0.7652  5 Ho 3.37-3.43, 6 Th 3.42-3.76
Th5 0.8087 0.1259 0.2731  5 Ho 3.34-3.71, 5 Th 3.42-3.56
Th6 0.8741 0.1913 0.7269  5 Ho 3.34-3.71, 5 Th 3.42-3.56

Entry 3:
Compound: Ho2Th3
Source: Alexandria via LeMat-Bulk
Functional: PBE
Structure: optimized geometry

As for the space group: C2/m. The value obtained for the magnetic moment is 0.000 μB per cell. As for the formation energy: 0.282 eV/atom.

a b c (Å): 8.2525 8.2525 5.6680
angles (deg): 101.47 101.47 112.44
Last column: nearest neighbours and their distance in Å.
Element x y z (fractional)
Ho1 0.0000 0.5000 0.5000  4 Th 3.22-3.51, 2 Ho 3.42
Ho2 0.1230 0.8770 0.0000  3 Ho 3.37-3.42, 4 Th 3.38-3.63
Ho3 0.5000 0.0000 0.5000  4 Th 3.22-3.51, 2 Ho 3.42
Ho4 0.8770 0.1230 0.0000  3 Ho 3.37-3.42, 4 Th 3.38-3.63
Th1 0.2083 0.2083 0.5915  7 Th 3.47-3.83, 6 Ho 3.51-3.88
Th2 0.2704 0.5136 0.1574  3 Th 3.11-3.47, 2 Ho 3.22-3.38
Th3 0.4864 0.7296 0.8426  3 Th 3.11-3.47, 2 Ho 3.22-3.38
Th4 0.5136 0.2704 0.1574  3 Th 3.11-3.47, 2 Ho 3.22-3.38
Th5 0.7296 0.4864 0.8426  3 Th 3.11-3.47, 2 Ho 3.22-3.38
Th6 0.7917 0.7917 0.4085  7 Th 3.47-3.83, 6 Ho 3.51-3.88